(1)
Density functional theory data (PBE) for a relaxed structure of Al2MoP.

```
Al2MoP
1.0
9.455 0.000 0.000
0.000 2.940 0.000
-0.374 0.000 4.313
Al Mo P
4 2 2
Direct
0.239 0.000 0.249
0.261 0.500 0.751
0.739 0.500 0.249
0.761 0.000 0.751
0.000 0.500 0.000
0.500 0.000 0.000
0.000 0.000 0.500
0.500 0.500 0.500
```

The space group is No. 12. Its mass density is 5.01 g/cm³. Its calculated volume is 14.99 Å³ per atom. As for the final energy: -47.32 eV for the cell shown. The total magnetic moment comes out at 0.0 μB per formula unit. The calculation puts the formation enthalpy at 0 K at 0.02 eV per atom.

---

(2)
Density functional theory data (PBE) for a relaxed structure of AlMo2P.

```
AlMo2P
1.0
3.218 0.000 0.000
0.000 4.526 0.000
0.000 0.000 8.386
Al Mo P
2 4 2
Direct
0.000 0.000 0.000
0.500 0.500 0.000
0.000 0.000 0.516
0.000 0.500 0.253
0.500 0.000 0.253
0.500 0.500 0.516
0.000 0.500 0.744
0.500 0.000 0.744
```

The space group is No. 35. Its mass density is 6.79 g/cm³. Its calculated volume is 15.27 Å³ per atom. The calculation puts the energy above the most stable polymorph in this dataset at 1.681 eV/f.u. As for the final energy: -60.99 eV for the cell shown. The total magnetic moment comes out at 0.0 μB per formula unit. The calculation puts the formation enthalpy at 0 K at 0.08 eV per atom.

---

(3)
Density functional theory data (PBE) for a relaxed structure of AlMo2P.

```
AlMo2P
1.0
3.274 0.000 0.000
0.000 4.014 0.000
0.000 0.000 4.483
Al Mo P
1 2 1
Direct
0.000 0.000 0.000
0.000 0.500 0.500
0.500 0.500 0.000
0.500 0.000 0.500
```

The space group is No. 47. Its mass density is 7.04 g/cm³. Its calculated volume is 14.73 Å³ per atom. The calculation puts the energy above the most stable polymorph in this dataset at 1.367 eV/f.u. As for the final energy: -30.81 eV for the cell shown. The total magnetic moment comes out at 0.0 μB per formula unit. The calculation puts the formation enthalpy at 0 K at 0.00 eV per atom.

---

(4)
Density functional theory data (PBE) for a relaxed structure of Al2MoP.

```
Al2MoP
1.0
7.026 0.000 0.000
0.000 7.026 0.000
0.000 0.000 5.192
Al Mo P
8 4 4
Direct
0.213 0.750 0.125
0.250 0.213 0.875
0.250 0.287 0.375
0.287 0.750 0.625
0.713 0.250 0.625
0.750 0.713 0.375
0.750 0.787 0.875
0.787 0.250 0.125
0.000 0.000 0.500
0.000 0.500 0.750
0.500 0.000 0.250
0.500 0.500 0.000
0.000 0.000 0.000
0.000 0.500 0.250
0.500 0.000 0.750
0.500 0.500 0.500
```

The space group is No. 122. Its mass density is 4.69 g/cm³. Its calculated volume is 16.02 Å³ per atom. As for the final energy: -91.29 eV for the cell shown. The total magnetic moment comes out at 0.0 μB per formula unit. The calculation puts the formation enthalpy at 0 K at 0.23 eV per atom.

---

(5)
Density functional theory data (PBE) for a relaxed structure of Al2MoP.

```
Al2MoP
1.0
3.222 0.000 0.000
0.000 3.222 0.000
0.000 0.000 5.796
Al Mo P
2 1 1
Direct
0.000 0.000 0.000
0.500 0.500 0.275
0.000 0.000 0.543
0.500 0.500 0.728
```

The space group is No. 99. Its mass density is 4.99 g/cm³. Its calculated volume is 15.04 Å³ per atom. As for the final energy: -24.43 eV for the cell shown. The total magnetic moment comes out at 0.0 μB per formula unit. The calculation puts the formation enthalpy at 0 K at -0.18 eV per atom.

---

(6)
Density functional theory data (PBE) for a relaxed structure of Al2MoP.

```
Al2MoP
1.0
8.844 0.000 0.000
0.000 3.012 0.000
-0.466 0.000 4.623
Al Mo P
4 2 2
Direct
0.000 0.000 0.000
0.246 0.500 0.249
0.500 0.500 0.000
0.746 0.000 0.249
0.486 0.000 0.499
0.986 0.500 0.499
0.205 0.000 0.679
0.705 0.500 0.679
```

The space group is No. 8. Its mass density is 4.88 g/cm³. Its calculated volume is 15.39 Å³ per atom. As for the final energy: -48.53 eV for the cell shown. The total magnetic moment comes out at 0.0 μB per formula unit. The calculation puts the formation enthalpy at 0 K at -0.13 eV per atom.

---

(7)
Density functional theory data (PBE) for a relaxed structure of Al2MoP.

```
Al2MoP
1.0
6.203 0.000 0.000
0.000 6.203 0.000
0.000 0.000 6.203
Al Mo P
8 4 4
Direct
0.000 0.000 0.000
0.000 0.500 0.500
0.250 0.250 0.250
0.250 0.750 0.750
0.500 0.000 0.500
0.500 0.500 0.000
0.750 0.250 0.750
0.750 0.750 0.250
0.250 0.250 0.750
0.250 0.750 0.250
0.750 0.250 0.250
0.750 0.750 0.750
0.000 0.000 0.500
0.000 0.500 0.000
0.500 0.000 0.000
0.500 0.500 0.500
```

The space group is No. 216. Its mass density is 5.03 g/cm³. Its calculated volume is 14.92 Å³ per atom. As for the final energy: -91.69 eV for the cell shown. The total magnetic moment comes out at 0.0 μB per formula unit. The calculation puts the formation enthalpy at 0 K at 0.20 eV per atom.

---

(8)
Density functional theory data (PBE) for a relaxed structure of Al2MoP.

```
Al2MoP
1.0
2.981 0.000 0.000
-1.491 2.582 0.000
0.000 0.000 24.011
Al Mo P
6 3 3
Direct
0.000 0.000 0.245
0.000 0.000 0.755
0.333 0.667 0.421
0.333 0.667 0.912
0.667 0.333 0.088
0.667 0.333 0.579
0.000 0.000 0.000
0.333 0.667 0.667
0.667 0.333 0.333
0.000 0.000 0.500
0.333 0.667 0.167
0.667 0.333 0.833
```

The space group is No. 166. Its mass density is 4.88 g/cm³. Its calculated volume is 15.40 Å³ per atom. As for the final energy: -70.71 eV for the cell shown. The total magnetic moment comes out at 0.0 μB per formula unit. The calculation puts the formation enthalpy at 0 K at 0.04 eV per atom.